1.
First-principles (meta-GGA SCAN) data for a crystal of LaSiRh2 relaxed with PBEsol, as listed in the Alexandria database.

Values from the calculation:
space group	I4/mmm

Structure (POSCAR):
```
LaSiRh2
1.0
-2.196 2.196 3.564
2.196 -2.196 3.564
2.196 2.196 -3.564
La Si Rh
1 1 2
Direct
0.000 0.000 0.000
0.500 0.500 0.000
0.250 0.750 0.500
0.750 0.250 0.500
```



2.
First-principles (meta-GGA SCAN) data for a crystal of AlTc4Br relaxed with PBEsol, as listed in the Alexandria database.

Values from the calculation:
space group	F-43m

Structure (POSCAR):
```
AlTc4Br
1.0
0.000 3.622 3.622
3.622 0.000 3.622
3.622 3.622 0.000
Al Tc Br
1 4 1
Direct
0.000 0.000 0.000
0.376 0.376 0.376
0.376 0.376 0.872
0.376 0.872 0.376
0.872 0.376 0.376
0.750 0.750 0.750
```



no.,N(E_F) (states/eV per cell),formation energy without anion corrections (eV per atom),VASP energy (eV per atom)
1,1.43,-0.4935,-30.659
2,5.23,0.8207,-27.088